Entry 1:
First-principles (PBE) data for Rb2NbBr2Cl4 after structural relaxation, as listed in Alexandria.

The final energy is -4.037 eV per atom. The magnetic moment is 2.001 μB/cell.

It has space group I4/mmm (No. 139), with a = 7.395 Å, b = 7.395 Å, c = 10.710 Å, α = 90.00°, β = 90.00° and γ = 90.00°. The asymmetric unit holds Rb at (0.000, 0.500, 0.250), Nb at (0.000, 0.000, 0.000), Br at (0.000, 0.000, 0.245) and Cl at (0.232, 0.232, 0.000).

***

Entry 2:
First-principles (PBE) data for InPb2I after structural relaxation, as listed in Alexandria.

The final energy is -2.725 eV per atom. The magnetic moment is 0.000 μB/cell.

It has space group I-42d (No. 122), with a = 6.734 Å, b = 6.734 Å, c = 16.424 Å, α = 90.00°, β = 90.00° and γ = 90.00°. The asymmetric unit holds In at (0.000, 0.000, 0.000), Pb at (0.211, 0.250, 0.125) and I at (0.000, 0.000, 0.500).

***

Entry 3:
First-principles (PBE) data for CuAsCl2 after structural relaxation, as listed in Alexandria.

The final energy is -3.062 eV per atom. The magnetic moment is 0.001 μB/cell.

It has space group R-3m (No. 166, hexagonal axes), with a = 3.3377 Å, b = 3.3377 Å, c = 23.6767 Å, α = 90.00°, β = 90.00° and γ = 120.00°. The asymmetric unit holds Cu at (0.0000, 0.0000, 0.0000), As at (0.0000, 0.0000, 0.5000) and Cl at (0.0000, 0.0000, 0.2695).